Here is an optimized crystal structure of Y6CdGa2 from Alexandria. Energies are from PBE.

Values from the calculation:
The formation energy is -405 meV/atom. The final energy comes out at -98.80 eV per cell. The total magnetization comes out at 0.00 Bohr magnetons per cell. The density of states at the Fermi level comes out at 0.6536 states/eV/atom.

```
Y6CdGa2
1.0
0.441 -8.622 -0.774
7.761 3.726 -1.001
-2.606 2.407 7.908
Y Ga Cd
12 4 2
Direct
0.298 0.619 0.321
0.800 0.243 0.043
0.702 0.024 0.321
0.298 0.976 0.679
0.800 0.757 0.557
0.200 0.243 0.443
0.540 0.723 0.818
0.460 0.277 0.182
0.200 0.757 0.957
0.095 0.277 0.818
0.702 0.381 0.679
0.905 0.723 0.182
0.352 0.000 0.352
0.500 0.379 0.879
0.500 0.621 0.121
0.648 0.000 0.648
0.000 0.000 0.000
0.000 0.500 0.500
```